Entry 1:
Th8Fe2Pd | PBE | optimized geometry

```
data_Th8Fe2Pd
_chemical_formula_sum 'Th8 Fe2 Pd1'
_cell_length_a 3.726
_cell_length_b 8.994
_cell_length_c 12.077
_cell_angle_alpha 130.46
_cell_angle_beta 98.87
_cell_angle_gamma 90.00
_space_group_name_H-M_alt 'P 1'
_space_group_IT_number 1
_space_group_name_Hall 'P 1'
loop_
_atom_site_label
_atom_site_type_symbol
_atom_site_fract_x
_atom_site_fract_y
_atom_site_fract_z
Th1 Th 0.599 0.660 0.198
Th2 Th 0.217 0.104 0.434
Th3 Th 0.664 0.366 0.329
Th4 Th 0.336 0.634 0.671
Th5 Th 0.783 0.896 0.566
Th6 Th 0.990 0.222 0.981
Th7 Th 0.010 0.778 0.019
Th8 Th 0.401 0.340 0.802
Fe1 Fe 0.832 0.400 0.663
Fe2 Fe 0.168 0.600 0.337
Pd1 Pd 0.500 0.000 0.000
```

Results
For the volume, the calculation gives 27.41 Å³/atom. Its space-group type is C2/m. For the formation energy, the calculation gives -119 meV per atom. The density of states at the Fermi level is 12.12 states/eV/cell.

Entry 2:
Th4Fe2Pd | PBE | optimized geometry

```
data_Th4Fe2Pd
_chemical_formula_sum 'Th8 Fe4 Pd2'
_cell_length_a 7.070
_cell_length_b 6.894
_cell_length_c 8.208
_cell_angle_alpha 107.66
_cell_angle_beta 108.48
_cell_angle_gamma 105.71
_space_group_name_H-M_alt 'P 1'
_space_group_IT_number 1
_space_group_name_Hall 'P 1'
loop_
_atom_site_label
_atom_site_type_symbol
_atom_site_fract_x
_atom_site_fract_y
_atom_site_fract_z
Th1 Th 0.215 0.972 0.310
Th2 Th 0.474 0.388 0.199
Th3 Th 0.656 0.912 0.190
Th4 Th 0.726 0.452 0.881
Th5 Th 0.595 0.821 0.619
Th6 Th 0.128 0.217 0.703
Th7 Th 0.025 0.439 0.301
Th8 Th 0.175 0.764 0.797
Fe1 Fe 0.238 0.598 0.077
Fe2 Fe 0.557 0.116 0.940
Fe3 Fe 0.912 0.771 0.423
Fe4 Fe 0.367 0.426 0.560
Pd1 Pd 0.958 0.053 0.982
Pd2 Pd 0.726 0.321 0.518
```

Results
For the volume, the calculation gives 23.60 Å³/atom. Its space-group type is Cc. For the formation energy, the calculation gives -237 meV per atom. The density of states at the Fermi level is 13.63 states/eV/cell.

Entry 3:
Th6FePd2 | PBE | optimized geometry

```
data_Th6FePd2
_chemical_formula_sum 'Th6 Fe1 Pd2'
_cell_length_a 3.728
_cell_length_b 8.466
_cell_length_c 8.467
_cell_angle_alpha 119.99
_cell_angle_beta 90.00
_cell_angle_gamma 90.00
_space_group_name_H-M_alt 'P 1'
_space_group_IT_number 1
_space_group_name_Hall 'P 1'
loop_
_atom_site_label
_atom_site_type_symbol
_atom_site_fract_x
_atom_site_fract_y
_atom_site_fract_z
Pd1 Pd 0.000 0.667 0.334
Pd2 Pd 0.000 0.333 0.666
Th1 Th 0.000 0.237 0.000
Th2 Th 0.500 0.000 0.588
Th3 Th 0.500 0.412 0.412
Th4 Th 0.000 0.000 0.237
Th5 Th 0.000 0.763 0.763
Th6 Th 0.500 0.588 0.000
Fe1 Fe 0.500 0.000 0.000
```

Results
For the volume, the calculation gives 25.72 Å³/atom. Its space-group type is P-62m. For the formation energy, the calculation gives -350 meV per atom. The density of states at the Fermi level is 10.20 states/eV/cell.

Entry 4:
Th7Fe2Pd2 | PBE | optimized geometry

```
data_Th7Fe2Pd2
_chemical_formula_sum 'Th7 Fe2 Pd2'
_cell_length_a 3.781
_cell_length_b 9.273
_cell_length_c 9.273
_cell_angle_alpha 63.14
_cell_angle_beta 78.24
_cell_angle_gamma 78.24
_space_group_name_H-M_alt 'P 1'
_space_group_IT_number 1
_space_group_name_Hall 'P 1'
loop_
_atom_site_label
_atom_site_type_symbol
_atom_site_fract_x
_atom_site_fract_y
_atom_site_fract_z
Th1 Th 0.627 0.487 0.258
Th2 Th 0.136 0.118 0.611
Th3 Th 0.190 0.713 0.906
Th4 Th 0.373 0.742 0.513
Th5 Th 0.864 0.389 0.882
Th6 Th 0.500 0.002 0.998
Th7 Th 0.810 0.094 0.287
Pd1 Pd 0.500 0.357 0.643
Pd2 Pd 0.000 0.756 0.244
Fe1 Fe 0.267 0.331 0.135
Fe2 Fe 0.733 0.865 0.669
```

Results
For the volume, the calculation gives 25.60 Å³/atom. Its space-group type is Imm2. For the formation energy, the calculation gives -285 meV per atom. The density of states at the Fermi level is 11.76 states/eV/cell.

Entry 5:
Th2ZnFePd | PBE | optimized geometry

```
data_Th2ZnFePd
_chemical_formula_sum 'Th4 Zn2 Fe2 Pd2'
_cell_length_a 3.920
_cell_length_b 7.828
_cell_length_c 7.372
_cell_angle_alpha 110.59
_cell_angle_beta 90.00
_cell_angle_gamma 90.00
_space_group_name_H-M_alt 'P 1'
_space_group_IT_number 1
_space_group_name_Hall 'P 1'
loop_
_atom_site_label
_atom_site_type_symbol
_atom_site_fract_x
_atom_site_fract_y
_atom_site_fract_z
Pd1 Pd 0.250 0.679 0.319
Pd2 Pd 0.750 0.321 0.681
Fe1 Fe 0.750 0.125 0.109
Fe2 Fe 0.250 0.875 0.891
Zn1 Zn 0.250 0.553 0.645
Zn2 Zn 0.750 0.447 0.355
Th1 Th 0.250 0.275 0.968
Th2 Th 0.250 0.119 0.357
Th3 Th 0.750 0.725 0.032
Th4 Th 0.750 0.881 0.643
```

Results
For the volume, the calculation gives 21.18 Å³/atom. Its space-group type is P2_1/m. For the formation energy, the calculation gives -429 meV per atom. The density of states at the Fermi level is 7.66 states/eV/cell.

Entry 6:
Ti3FePd | PBE | optimized geometry

```
data_Ti3FePd
_chemical_formula_sum 'Ti3 Fe1 Pd1'
_cell_length_a 4.437
_cell_length_b 4.437
_cell_length_c 4.437
_cell_angle_alpha 90.00
_cell_angle_beta 90.00
_cell_angle_gamma 90.00
_space_group_name_H-M_alt 'P 1'
_space_group_IT_number 1
_space_group_name_Hall 'P 1'
loop_
_atom_site_label
_atom_site_type_symbol
_atom_site_fract_x
_atom_site_fract_y
_atom_site_fract_z
Pd1 Pd 0.500 0.500 0.500
Ti1 Ti 0.500 0.000 0.000
Ti2 Ti 0.000 0.500 0.000
Ti3 Ti 0.000 0.000 0.500
Fe1 Fe 0.000 0.000 0.000
```

Results
The energy above the most stable polymorph in this dataset is 0.0000 eV per atom. For the volume, the calculation gives 17.47 Å³/atom. Its space-group type is Pm-3m. For the formation energy, the calculation gives 173 meV per atom. The density of states at the Fermi level is 8.86 states/eV/cell.

Entry 7:
Ti6FePd | PBE | optimized geometry

```
data_Ti6FePd
_chemical_formula_sum 'Ti6 Fe1 Pd1'
_cell_length_a 5.219
_cell_length_b 7.016
_cell_length_c 5.189
_cell_angle_alpha 67.70
_cell_angle_beta 84.78
_cell_angle_gamma 47.47
_space_group_name_H-M_alt 'P 1'
_space_group_IT_number 1
_space_group_name_Hall 'P 1'
loop_
_atom_site_label
_atom_site_type_symbol
_atom_site_fract_x
_atom_site_fract_y
_atom_site_fract_z
Ti1 Ti 0.819 0.757 0.243
Ti2 Ti 0.852 0.905 0.659
Ti3 Ti 0.181 0.243 0.757
Ti4 Ti 0.585 0.659 0.905
Ti5 Ti 0.148 0.095 0.341
Ti6 Ti 0.415 0.341 0.095
Pd1 Pd 0.500 0.500 0.500
Fe1 Fe 0.000 0.000 0.000
```

Results
For the volume, the calculation gives 15.71 Å³/atom. Its space-group type is C2/m. For the formation energy, the calculation gives -187 meV per atom. The density of states at the Fermi level is 7.11 states/eV/cell.

Entry 8:
TiFePd | PBE | optimized geometry

```
data_TiFePd
_chemical_formula_sum 'Ti1 Fe1 Pd1'
_cell_length_a 3.145
_cell_length_b 3.145
_cell_length_c 4.926
_cell_angle_alpha 108.61
_cell_angle_beta 108.61
_cell_angle_gamma 90.00
_space_group_name_H-M_alt 'P 1'
_space_group_IT_number 1
_space_group_name_Hall 'P 1'
loop_
_atom_site_label
_atom_site_type_symbol
_atom_site_fract_x
_atom_site_fract_y
_atom_site_fract_z
Ti1 Ti 0.675 0.675 0.350
Pd1 Pd 0.001 0.001 0.001
Fe1 Fe 0.324 0.324 0.648
```

Results
For the volume, the calculation gives 14.49 Å³/atom. Its space-group type is I4mm. For the formation energy, the calculation gives -268 meV per atom. The density of states at the Fermi level is 3.73 states/eV/cell.

Entry 9:
Ti4Fe3Pd | PBE | optimized geometry

```
data_Ti4Fe3Pd
_chemical_formula_sum 'Ti8 Fe6 Pd2'
_cell_length_a 4.235
_cell_length_b 6.120
_cell_length_c 8.470
_cell_angle_alpha 90.00
_cell_angle_beta 90.00
_cell_angle_gamma 90.00
_space_group_name_H-M_alt 'P 1'
_space_group_IT_number 1
_space_group_name_Hall 'P 1'
loop_
_atom_site_label
_atom_site_type_symbol
_atom_site_fract_x
_atom_site_fract_y
_atom_site_fract_z
Ti1 Ti 0.000 0.761 0.750
Ti2 Ti 0.000 0.239 0.250
Ti3 Ti 0.500 0.761 0.000
Ti4 Ti 0.500 0.761 0.500
Ti5 Ti 0.500 0.239 0.500
Ti6 Ti 0.500 0.239 0.000
Ti7 Ti 0.000 0.239 0.750
Ti8 Ti 0.000 0.761 0.250
Fe1 Fe 0.000 0.000 0.500
Fe2 Fe 0.500 0.500 0.750
Fe3 Fe 0.500 0.500 0.250
Fe4 Fe 0.500 0.000 0.750
Fe5 Fe 0.000 0.000 0.000
Fe6 Fe 0.500 0.000 0.250
Pd1 Pd 0.000 0.500 0.000
Pd2 Pd 0.000 0.500 0.500
```

Results
For the volume, the calculation gives 13.72 Å³/atom. Its space-group type is P4/mmm. For the formation energy, the calculation gives -376 meV per atom. The density of states at the Fermi level is 13.06 states/eV/cell.

Entry 10:
TiFe2Pd8 | PBE | optimized geometry

```
data_TiFe2Pd8
_chemical_formula_sum 'Ti1 Fe2 Pd8'
_cell_length_a 4.496
_cell_length_b 7.077
_cell_length_c 6.852
_cell_angle_alpha 58.91
_cell_angle_beta 78.62
_cell_angle_gamma 67.53
_space_group_name_H-M_alt 'P 1'
_space_group_IT_number 1
_space_group_name_Hall 'P 1'
loop_
_atom_site_label
_atom_site_type_symbol
_atom_site_fract_x
_atom_site_fract_y
_atom_site_fract_z
Pd1 Pd 0.114 0.677 0.233
Pd2 Pd 0.312 0.384 0.000
Pd3 Pd 0.114 0.910 0.767
Pd4 Pd 0.886 0.323 0.767
Pd5 Pd 0.500 0.783 0.435
Pd6 Pd 0.886 0.090 0.233
Pd7 Pd 0.688 0.616 0.000
Pd8 Pd 0.500 0.217 0.565
Fe1 Fe 0.000 0.310 0.381
Fe2 Fe 0.000 0.690 0.619
Ti1 Ti 0.500 0.000 0.000
```

Results
The energy above the most stable polymorph in this dataset is 0.1705 eV per atom. For the volume, the calculation gives 15.69 Å³/atom. Its space-group type is C2/m. For the formation energy, the calculation gives -100 meV per atom. The density of states at the Fermi level is 7.63 states/eV/cell.

Entry 11:
Ti6Fe5Pd | PBE | optimized geometry

```
data_Ti6Fe5Pd
_chemical_formula_sum 'Ti6 Fe5 Pd1'
_cell_length_a 4.226
_cell_length_b 6.034
_cell_length_c 7.313
_cell_angle_alpha 114.37
_cell_angle_beta 106.80
_cell_angle_gamma 90.00
_space_group_name_H-M_alt 'P 1'
_space_group_IT_number 1
_space_group_name_Hall 'P 1'
loop_
_atom_site_label
_atom_site_type_symbol
_atom_site_fract_x
_atom_site_fract_y
_atom_site_fract_z
Fe1 Fe 0.667 0.167 0.335
Fe2 Fe 0.334 0.334 0.668
Fe3 Fe 0.333 0.833 0.665
Fe4 Fe 0.666 0.666 0.332
Fe5 Fe 0.000 0.500 0.000
Ti1 Ti 0.171 0.428 0.343
Ti2 Ti 0.500 0.736 0.000
Ti3 Ti 0.829 0.572 0.657
Ti4 Ti 0.829 0.085 0.657
Ti5 Ti 0.500 0.264 0.000
Ti6 Ti 0.171 0.915 0.343
Pd1 Pd 0.000 0.000 0.000
```

Results
For the volume, the calculation gives 13.42 Å³/atom. Its space-group type is Immm. For the formation energy, the calculation gives -385 meV per atom. The density of states at the Fermi level is 8.76 states/eV/cell.